1.
YMgCoPb: optimized geometry, GGA-PBE.

abc: 4.875 4.875 4.875
angles: 60.00 60.00 60.00
Fractional positions:
Pb1 0.250 0.250 0.250
Mg1 0.750 0.750 0.750
Y1 0.000 0.000 0.000
Co1 0.500 0.500 0.500

Values from the calculation:
Space-group type: No. 216
Offset from the most stable computed form, meV per atom: 88
V, A^3/atom: 20.48
Total magnetization, μB per cell: 0.15

---

2.
ThOsPb: optimized geometry, GGA-PBE.

abc: 4.878 4.878 4.878
angles: 60.00 60.00 60.00
Fractional positions:
Os1 0.500 0.500 0.500
Th1 0.000 0.000 0.000
Pb1 0.250 0.250 0.250

Values from the calculation:
Space-group type: No. 216
V, A^3/atom: 27.36
Total magnetization, μB per cell: 1.40
Raw total energy, eV/atom: -6.630